DFT (GGA-PBE) results for an optimized crystal structure of Hf6MgZr2.

```
data_Hf6MgZr2
_space_group_name_H-M_alt 'I m m m'
_space_group_IT_number 71
_space_group_name_Hall '-I 2 2'
_cell_length_a 5.073
_cell_length_b 6.096
_cell_length_c 14.086
_cell_angle_alpha 90.00
_cell_angle_beta 90.00
_cell_angle_gamma 90.00
loop_
_atom_site_label
_atom_site_type_symbol
_atom_site_fract_x
_atom_site_fract_y
_atom_site_fract_z
Hf1 Hf 0.000 0.235 0.000
Hf2 Hf 0.000 0.250 0.199
Mg1 Mg 0.000 0.000 0.500
Zr1 Zr 0.000 0.500 0.391
```

Volume = 24.2 A^3/atom
Energy of formation = 447 kJ/mol of formula units
ρ = 9.74 Mg/m³